[1]
## AgSe2O8 (GGA-PBE)

Data for AgSe2O8 after structural relaxation.

Geometry as POSCAR:
```
AgSe2O8
1.0
5.5361 0.0063 2.8217
0.2271 5.9513 0.3632
0.1137 0.0063 6.2127
Ag Se O
1 2 8
direct
0.0000 0.0000 0.0000 Ag
0.1926 0.3035 0.1926 Se
0.8074 0.6965 0.8074 Se
0.6930 0.8229 0.0887 O
0.9113 0.1771 0.3070 O
0.1689 0.5791 0.1689 O
0.8311 0.4209 0.8311 O
0.0887 0.8229 0.6930 O
0.3070 0.1771 0.9113 O
0.3432 0.2211 0.3432 O
0.6568 0.7789 0.6568 O
```

Summary:
- ρ (g/cm³) = 3.22
- space group = C2/m
- formation energy without anion corrections (eV/atom) = -0.19


[2]
## ZrTl2Br5Cl (GGA-PBE)

Data for ZrTl2Br5Cl after structural relaxation.

Geometry as POSCAR:
```
ZrTl2Br5Cl
1.0
7.6635 -0.1214 -0.1762
-3.7457 6.6869 0.1762
-3.7457 -2.2166 6.3113
Zr Tl Br Cl
1 2 5 1
direct
0.0000 0.0070 0.0070 Zr
0.5000 0.2044 0.7044 Tl
0.5000 0.7044 0.2044 Tl
0.4919 0.2588 0.2588 Br
0.5081 0.7669 0.7669 Br
0.0000 0.7669 0.2588 Br
0.0000 0.2588 0.7669 Br
0.0000 0.2512 0.2512 Br
0.0000 0.7815 0.7815 Cl
```

Summary:
- ρ (g/cm³) = 4.89
- space group = I4mm
- formation energy without anion corrections (eV/atom) = -1.22


[3]
## LaBeGaF2 (GGA-PBE)

Data for LaBeGaF2 after structural relaxation.

Geometry as POSCAR:
```
LaBeGaF2
1.0
4.6001 0.0000 0.0000
0.0000 4.6126 0.0000
0.0000 0.0000 4.6001
Be F Ga La
1 2 1 1
direct
0.0000 0.5000 0.0000 Be
0.0000 0.0000 0.5000 F
0.5000 0.0000 0.0000 F
0.0000 0.0000 0.0000 Ga
0.5000 0.5000 0.5000 La
```

Summary:
- ρ (g/cm³) = 4.35
- space group = P4/mmm
- formation energy without anion corrections (eV/atom) = -1.20


[4]
## AlRuS (GGA-PBE)

Data for AlRuS after structural relaxation.

Geometry as POSCAR:
```
AlRuS
1.0
-2.3082 -2.2414 0.6592
-1.9027 -1.8934 -4.9924
2.6093 -5.0125 -2.2888
Ru S Al
2 2 2
direct
0.6660 0.5944 0.4704 Ru
0.4041 0.1798 0.3987 Ru
0.1629 0.6571 0.0951 S
0.2117 0.3248 0.7152 S
0.9968 0.8160 0.6731 Al
0.0535 0.0586 0.1501 Al
```

Summary:
- ρ (g/cm³) = 5.52
- space group = P1
- formation energy without anion corrections (eV/atom) = -0.36